Here is a relaxed structure of NaIn2PbI4 from Alexandria. Energies are from GGA-PBE.

Cell and atoms, written as CIF:
```
data_NaIn2PbI4
_space_group_name_H-M_alt 'P 1 2/m 1'
_space_group_IT_number 10
_cell_length_a 7.8596
_cell_length_b 5.3800
_cell_length_c 8.2565
_cell_angle_alpha 90.00
_cell_angle_beta 114.48
_cell_angle_gamma 90.00
loop_
_space_group_symop_operation_xyz
'x,y,z'
'-x,-y,-z'
'-x,y,-z'
'x,-y,z'
loop_
_atom_site_label
_atom_site_fract_x
_atom_site_fract_y
_atom_site_fract_z
Na1 0.0000 0.0000 0.0000
In1 0.0000 0.5000 0.5000
In2 0.5000 0.0000 0.5000
Pb1 0.5000 0.5000 0.0000
I1 0.2459 0.5000 0.2326
I2 0.2498 0.0000 0.7704
```

Computed properties:
E_tot   -2.62 eV/atom
Total magnetization   0.00 μB per formula unit
Formation energy without anion corrections   -528 meV per atom
D(E_F)   0.33 states/eV/atom

Here is a relaxed structure of KSr2P from Alexandria. Energies are from GGA-PBE.

Cell and atoms, written as CIF:
```
data_KSr2P
_space_group_name_H-M_alt 'P 1 m 1'
_space_group_IT_number 6
_cell_length_a 4.4951
_cell_length_b 4.2696
_cell_length_c 9.4459
_cell_angle_alpha 90.00
_cell_angle_beta 103.70
_cell_angle_gamma 90.00
loop_
_space_group_symop_operation_xyz
'x,y,z'
'x,-y,z'
loop_
_atom_site_label
_atom_site_fract_x
_atom_site_fract_y
_atom_site_fract_z
K1 0.0000 0.0000 0.0000
Sr1 0.3332 0.0000 0.6653
Sr2 0.6884 0.5000 0.3734
P1 0.8464 0.5000 0.6915
```

Computed properties:
E_tot   -2.94 eV/atom
Total magnetization   0.26 μB per formula unit
Formation enthalpy at 0 K   -45.15 kJ/mol of atoms
D(E_F)   0.49 states/eV/atom

Here is a relaxed structure of BaNaHfC2 from Alexandria. Energies are from GGA-PBE.

Cell and atoms, written as CIF:
```
data_BaNaHfC2
_space_group_name_H-M_alt 'P 4/m m m'
_space_group_IT_number 123
_space_group_name_Hall '-P 4 2'
_cell_length_a 4.7633
_cell_length_b 4.7633
_cell_length_c 5.0895
_cell_angle_alpha 90.00
_cell_angle_beta 90.00
_cell_angle_gamma 90.00
loop_
_atom_site_label
_atom_site_fract_x
_atom_site_fract_y
_atom_site_fract_z
Ba1 0.0000 0.0000 0.0000
Na1 0.0000 0.0000 0.5000
Hf1 0.5000 0.5000 0.5000
C1 0.0000 0.5000 0.0000
```

Computed properties:
E_tot   -3.61 eV/atom
Total magnetization   0.00 μB per formula unit
Formation enthalpy at 0 K   262.55 kJ/mol of atoms
D(E_F)   0.74 states/eV/atom

Here is a relaxed structure of Ca2TaHg from Alexandria. Energies are from GGA-PBE.

Cell and atoms, written as CIF:
```
data_Ca2TaHg
_space_group_name_H-M_alt 'P 1 2/m 1'
_space_group_IT_number 10
_cell_length_a 3.2721
_cell_length_b 4.7858
_cell_length_c 6.4251
_cell_angle_alpha 90.00
_cell_angle_beta 90.09
_cell_angle_gamma 90.00
loop_
_space_group_symop_operation_xyz
'x,y,z'
'-x,-y,-z'
'-x,y,-z'
'x,-y,z'
loop_
_atom_site_label
_atom_site_fract_x
_atom_site_fract_y
_atom_site_fract_z
Ca1 0.0009 0.0000 0.2473
Ta1 0.5000 0.5000 0.0000
Hg1 0.5000 0.5000 0.5000
```

Computed properties:
E_tot   -3.64 eV/atom
Total magnetization   0.40 μB per formula unit
Formation enthalpy at 0 K   38.77 kJ/mol of atoms
D(E_F)   1.00 states/eV/atom

Here is a relaxed structure of La5Bi4Te from Alexandria. Energies are from GGA-PBE.

Cell and atoms, written as CIF:
```
data_La5Bi4Te
_space_group_name_H-M_alt 'I m m m'
_space_group_IT_number 71
_space_group_name_Hall '-I 2 2'
_cell_length_a 4.6862
_cell_length_b 6.6196
_cell_length_c 23.4049
_cell_angle_alpha 90.00
_cell_angle_beta 90.00
_cell_angle_gamma 90.00
loop_
_atom_site_label
_atom_site_fract_x
_atom_site_fract_y
_atom_site_fract_z
La1 0.0000 0.0000 0.0000
La2 0.0000 0.0000 0.2002
La3 0.0000 0.0000 0.3992
Bi1 0.0000 0.5000 0.1993
Bi2 0.0000 0.5000 0.4007
Te1 0.0000 0.5000 0.0000
```

Computed properties:
E_tot   -5.51 eV/atom
Total magnetization   0.00 μB per formula unit
Formation energy without anion corrections   -1181 meV per atom
D(E_F)   0.37 states/eV/atom

Here is a relaxed structure of Cu4AsCl from Alexandria. Energies are from GGA-PBE.

Cell and atoms, written as CIF:
```
data_Cu4AsCl
_space_group_name_H-M_alt 'F -4 3 m'
_space_group_IT_number 216
_space_group_name_Hall 'F -4 2 3'
_cell_length_a 7.0967
_cell_length_b 7.0967
_cell_length_c 7.0967
_cell_angle_alpha 90.00
_cell_angle_beta 90.00
_cell_angle_gamma 90.00
loop_
_atom_site_label
_atom_site_fract_x
_atom_site_fract_y
_atom_site_fract_z
Cu1 0.1243 0.1243 0.1243
As1 0.2500 0.2500 0.7500
Cl1 0.0000 0.0000 0.5000
```

Computed properties:
E_tot   -3.48 eV/atom
Total magnetization   0.00 μB per formula unit
Formation energy without anion corrections   337 meV per atom
D(E_F)   0.80 states/eV/atom

Copy entry 1 word for word.
Here is a relaxed structure of NaIn2PbI4 from Alexandria. Energies are from GGA-PBE.

Cell and atoms, written as CIF:
```
data_NaIn2PbI4
_space_group_name_H-M_alt 'P 1 2/m 1'
_space_group_IT_number 10
_cell_length_a 7.8596
_cell_length_b 5.3800
_cell_length_c 8.2565
_cell_angle_alpha 90.00
_cell_angle_beta 114.48
_cell_angle_gamma 90.00
loop_
_space_group_symop_operation_xyz
'x,y,z'
'-x,-y,-z'
'-x,y,-z'
'x,-y,z'
loop_
_atom_site_label
_atom_site_fract_x
_atom_site_fract_y
_atom_site_fract_z
Na1 0.0000 0.0000 0.0000
In1 0.0000 0.5000 0.5000
In2 0.5000 0.0000 0.5000
Pb1 0.5000 0.5000 0.0000
I1 0.2459 0.5000 0.2326
I2 0.2498 0.0000 0.7704
```

Computed properties:
E_tot   -2.62 eV/atom
Total magnetization   0.00 μB per formula unit
Formation energy without anion corrections   -528 meV per atom
D(E_F)   0.33 states/eV/atom

Q: Which of these has the lowest D(E_F)?
A: NaIn2PbI4

Q: Look up the total magnetization of the third one.
A: 0.00 μB per formula unit